No. 1
DFT (PBE) results for an optimized crystal structure of Li3ScPd6.

Properties
The formation enthalpy at 0 K comes out at -5.4 eV per formula unit.

Geometry as POSCAR:
```
Li3ScPd6
1.0
7.7652 0.0000 0.0000
0.0000 4.2279 0.0000
-1.8576 0.0000 8.9579
Li Sc Pd
6 2 12
Direct
0.0429 0.2500 0.3977
0.1449 0.7500 0.1815
0.2504 0.2500 0.9758
0.7496 0.7500 0.0242
0.8551 0.2500 0.8185
0.9571 0.7500 0.6023
0.4371 0.2500 0.6184
0.5629 0.7500 0.3816
0.0402 0.7500 0.8962
0.1203 0.2500 0.6897
0.2364 0.7500 0.4800
0.3281 0.2500 0.2870
0.3456 0.7500 0.7866
0.4319 0.7500 0.0887
0.5681 0.2500 0.9113
0.6544 0.2500 0.2134
0.6719 0.7500 0.7130
0.7636 0.2500 0.5200
0.8797 0.7500 0.3103
0.9598 0.2500 0.1038
```



No. 2
DFT (PBE) results for an optimized crystal structure of BSbH.

Properties
Its uncorrected energy is -4.5237 eV/atom.

Geometry as POSCAR:
```
BSbH
1.0
5.7602 -3.0416 0.0000
5.7602 3.0416 0.0000
-0.7218 0.0000 3.0215
B Sb H
2 2 2
Direct
0.0361 0.0361 0.2914
0.9639 0.9639 0.7086
0.2412 0.2412 0.4653
0.7588 0.7588 0.5347
0.1617 0.8383 0.0000
0.8383 0.1617 0.0000
```



No. 3
DFT (PBE) results for an optimized crystal structure of Ac6Hg5Rh.

Properties
The formation enthalpy at 0 K comes out at -5.9 eV per formula unit.

Geometry as POSCAR:
```
Ac6Hg5Rh
1.0
2.8235 -8.4285 0.0000
2.8235 8.4285 0.0000
0.0000 0.0000 8.0175
Ac Hg Rh
6 5 1
Direct
0.0000 0.0000 0.2305
0.0000 0.0000 0.7695
0.3441 0.6559 0.2402
0.3441 0.6559 0.7598
0.6559 0.3441 0.2402
0.6559 0.3441 0.7598
0.1694 0.8306 0.5000
0.1777 0.8223 0.0000
0.5000 0.5000 0.5000
0.8223 0.1777 0.0000
0.8306 0.1694 0.5000
0.5000 0.5000 0.0000
```



| no. | N(E_F) (states/eV per atom) | volume (Å³ per cell) |
| --- | --- | --- |
| 1 | 0.26 | 294.1 |
| 2 | 0.10 | 105.9 |
| 3 | 0.64 | 381.6 |